DFT (GGA-PBE) results for PrDyNiPt after structural relaxation.

abc: 4.470 5.525 5.525
angles: 41.48 90.00 90.00
Fractional coordinates of all 4 atoms:
1 Pr 0.000 0.000 0.000
2 Dy 0.500 0.720 0.720
3 Ni 0.000 0.277 0.277
4 Pt 0.500 0.431 0.431

Summary:
volume	90.4	Å³/cell
DFT total energy	-24.32	eV per formula unit